VASP calculation (PBE) on crystalline FePC3 at its relaxed geometry.

Computed properties:
The electronic total energy comes out at -7.636 eV per atom. The calculated volume is 42 Å³/cell. For the formation energy, the calculation gives 0.673 eV per atom. The polymorph energy (0 for the lowest one) comes out at 1.75 eV per formula unit.

Geometry as POSCAR:
```
FePC3
1.0
3.7015 0.0000 -0.0109
0.0000 2.6422 0.0000
-1.4532 0.0000 4.3109
P C Fe
1 3 1
direct
0.0302 0.0000 0.6789
0.6248 0.0000 0.3046
0.3984 0.5000 0.3117
0.3243 0.5000 0.6217
0.8106 0.5000 0.0151
```